DFT (GGA-PBE) results for crystalline PrNd2Pb9 at its relaxed geometry.

Output
DFT formation energy ... -4.5 eV per formula unit
Space group ... No. 123
Crystal system ... tetragonal

Lattice parameters (Å, degrees): 4.936 4.936 14.812 90.00 90.00 90.00
Positions (direct):
1 Pr 0.000 0.000 0.000
2 Nd 0.000 0.000 0.334
3 Nd 0.000 0.000 0.666
4 Pb 0.000 0.500 0.168
5 Pb 0.000 0.500 0.500
6 Pb 0.000 0.500 0.832
7 Pb 0.500 0.000 0.168
8 Pb 0.500 0.000 0.500
9 Pb 0.500 0.000 0.832
10 Pb 0.500 0.500 0.000
11 Pb 0.500 0.500 0.334
12 Pb 0.500 0.500 0.666